1.
The following is a GGA-PBE calculation of an optimized crystal structure of SnPb3W, from Alexandria via LeMat-Bulk.

a b c (Å): 5.444 5.444 5.444
angles (deg): 90.00 90.00 90.00
Element x y z (fractional)
1 Pb 0.500 0.000 0.000
2 Pb 0.000 0.000 0.500
3 Pb 0.000 0.500 0.000
4 Sn 0.500 0.500 0.500
5 W 0.000 0.000 0.000

Results
E_form in eV/atom: 0.758
Calculated volume in Å³ per cell: 161.35
Polymorph energy (0 for the lowest one) in meV per atom: 0
Magnetic moment in μB/f.u.: 0.0
Total DFT energy (no corrections) in eV/atom: -4.858

***

2.
The following is a GGA-PBE calculation of an optimized crystal structure of SnPbW2, from Alexandria via LeMat-Bulk.

a b c (Å): 7.799 7.799 6.211
angles (deg): 51.11 51.11 90.00
Element x y z (fractional)
1 Sn 0.250 0.750 0.500
2 Sn 0.500 0.500 0.000
3 Pb 0.750 0.250 0.500
4 Pb 0.000 0.000 0.000
5 W 0.144 0.625 0.250
6 W 0.606 0.125 0.250
7 W 0.375 0.394 0.750
8 W 0.875 0.856 0.750

Results
E_form in eV/atom: 1.516
Calculated volume in Å³ per cell: 173.83
Polymorph energy (0 for the lowest one) in meV per atom: 463
Magnetic moment in μB/f.u.: 1.4
Total DFT energy (no corrections) in eV/atom: -6.888

***

3.
The following is a GGA-PBE calculation of an optimized crystal structure of SnPbW2, from Alexandria via LeMat-Bulk.

a b c (Å): 4.766 4.766 4.766
angles (deg): 60.00 60.00 60.00
Element x y z (fractional)
1 Pb 0.500 0.500 0.500
2 W 0.250 0.250 0.250
3 W 0.750 0.750 0.750
4 Sn 0.000 0.000 0.000

Results
E_form in eV/atom: 1.053
Calculated volume in Å³ per cell: 76.56
Polymorph energy (0 for the lowest one) in meV per atom: 0
Magnetic moment in μB/f.u.: 0.0
Total DFT energy (no corrections) in eV/atom: -7.351

***

4.
The following is a GGA-PBE calculation of an optimized crystal structure of SnPb3W, from Alexandria via LeMat-Bulk.

a b c (Å): 5.609 5.609 5.609
angles (deg): 90.00 90.00 90.00
Element x y z (fractional)
1 Sn 0.000 0.000 0.000
2 Pb 0.000 0.500 0.000
3 Pb 0.000 0.000 0.500
4 Pb 0.500 0.000 0.000
5 W 0.500 0.500 0.500

Results
E_form in eV/atom: 1.981
Calculated volume in Å³ per cell: 176.43
Polymorph energy (0 for the lowest one) in meV per atom: 1223
Magnetic moment in μB/f.u.: 0.0
Total DFT energy (no corrections) in eV/atom: -3.635